{
  "formula": "LaCeYPu",
  "functional": "GGA-PBE",
  "state": "optimized geometry",
  "cell": [[0.0000, 3.9769, 3.9769], [3.9769, 0.0000, 3.9769], [3.9769, 3.9769, 0.0000]],
  "species": ["La", "Ce", "Y", "Pu"],
  "frac_coords": [[0.0000, 0.0000, 0.0000], [0.5000, 0.5000, 0.5000], [0.2500, 0.2500, 0.2500], [0.7500, 0.7500, 0.7500]],
  "ef_ev_per_fu": 0.8
}

=====

{
  "formula": "Ba2TiVS6",
  "functional": "GGA-PBE",
  "state": "optimized geometry",
  "cell": [[6.8102, 0.0000, 0.0000], [-3.4051, 5.8978, 0.0000], [0.0000, 0.0000, 5.6742]],
  "species": ["Ba", "Ba", "Ti", "V", "S", "S", "S", "S", "S", "S"],
  "frac_coords": [[0.3333, 0.6667, 0.2542], [0.6667, 0.3333, 0.7458], [0.0000, 0.0000, 0.0000], [0.0000, 0.0000, 0.5000], [0.1650, 0.3300, 0.7435], [0.1650, 0.8350, 0.7435], [0.3300, 0.1650, 0.2565], [0.6700, 0.8350, 0.7435], [0.8350, 0.1650, 0.2565], [0.8350, 0.6700, 0.2565]],
  "formation_energy_uncorrected_ev_per_atom": -1.51
}

=====

{
  "formula": "LiErAsAu",
  "functional": "GGA-PBE",
  "state": "optimized geometry",
  "cell": [[0.0000, 3.4239, 3.4239], [3.4239, 0.0000, 3.4239], [3.4239, 3.4239, 0.0000]],
  "species": ["Li", "Er", "As", "Au"],
  "frac_coords": [[0.0000, 0.0000, 0.0000], [0.5000, 0.5000, 0.5000], [0.7500, 0.7500, 0.7500], [0.2500, 0.2500, 0.2500]],
  "ef_ev_per_fu": -3.4
}

=====

M_tot: 8.503; 0.357; 0.000 (μB per formula unit)
D(E_F): 2.516; 0.330; 0.085 (states/eV/atom)